*P*
First-principles (PBE-GGA) data for crystalline KLi3Be at its relaxed geometry, as listed in the Alexandria database.

The structure in POSCAR format:
```
KLi3Be
1.0
5.171 0.000 0.000
0.000 5.171 0.000
0.000 0.000 5.171
Be Li K
1 3 1
Cartesian
2.586 2.586 2.586
0.000 2.586 0.000
2.586 0.000 0.000
0.000 0.000 2.586
0.000 0.000 0.000
```

Computed properties:
Crystal system = cubic
Density = 828 kg/m3

***

*Q*
First-principles (PBE-GGA) data for crystalline KLi3Be at its relaxed geometry, as listed in the Alexandria database.

The structure in POSCAR format:
```
KLi3Be
1.0
5.063 0.000 0.000
0.000 5.063 0.000
0.000 0.000 5.063
Li Be K
3 1 1
Cartesian
0.000 2.531 0.000
2.531 0.000 0.000
0.000 0.000 2.531
0.000 0.000 0.000
2.531 2.531 2.531
```

Computed properties:
Crystal system = cubic
Density = 882 kg/m3

***

Going by the energies, *Q* is most stable and the next is 810 meV/atom up.